# 1
PuPaIr2 after structural relaxation. Source: the Alexandria database, functional PBE. Values from VASP.

Geometry as Quantum ESPRESSO input:
```
&SYSTEM
  ibrav = 0, nat = 4, ntyp = 3
/
ATOMIC_SPECIES
Pu 244.00 Pu.upf
Ir 192.22 Ir.upf
Pa 231.04 Pa.upf
ATOMIC_POSITIONS crystal
Pu 0.500 0.500 0.000
Ir 0.000 0.000 0.723
Pa 0.500 0.500 0.500
Ir 0.000 0.000 0.277
CELL_PARAMETERS angstrom
-1.710 -1.998 -2.277
-0.579 -2.351 2.498
-5.920 3.199 1.638
```

Output
E_form, eV per atom: -0.5879
Energy, eV per atom: -10.98
Excess energy over the best structure of this formula in the dataset, meV/atom: 119
Magnetization, μB/f.u.: 5.7

# 2
YPuTe6 after structural relaxation. Source: the Alexandria database, functional PBE. Values from VASP.

Geometry as Quantum ESPRESSO input:
```
&SYSTEM
  ibrav = 0, nat = 8, ntyp = 3
/
ATOMIC_SPECIES
Pu 244.00 Pu.upf
Te 127.60 Te.upf
Y 88.91 Y.upf
ATOMIC_POSITIONS crystal
Pu 0.828 0.000 0.657
Te 0.294 0.500 0.588
Te 0.707 0.000 0.414
Te 0.920 0.500 0.840
Y 0.172 0.500 0.344
Te 0.420 0.000 0.840
Te 0.579 0.500 0.158
Te 0.079 0.000 0.158
CELL_PARAMETERS angstrom
-1.839 0.795 3.865
-2.332 -3.663 -0.356
10.700 -7.215 4.124
```

Output
Energy, eV per atom: -5.77
Formation energy (no corrections), eV/atom: -0.8137
Magnetization, μB/f.u.: 4.8

Number 2 is which compound? YPuTe6

energy of number 1 (PuPaIr2)? -10.98 eV per atom